A plane-wave DFT calculation with PBE was carried out for CdSb2 after structural relaxation.

a = 6.688 Å, b = 6.688 Å, c = 8.254 Å
α = 82.24°, β = 82.24°, γ = 27.74°
Positions (direct):
Sb  0.441  0.441  0.857
Sb  0.559  0.559  0.143
Sb  0.854  0.854  0.459
Cd  0.201  0.201  0.865
Sb  0.146  0.146  0.541
Cd  0.799  0.799  0.135

Summary:
electronic total energy = -2.913 eV/atom
SG = C2/m (12)
magnetic moment = 0.00 μB per formula unit